[1]
VASP calculation (GGA-PBEsol) on a geometry-optimized Be3Co structure.

Density of states at the Fermi level, states/eV per atom: 0.59
Electronic total energy, eV per formula unit: -19.673
DFT formation energy, eV/atom: 0.016

a = 2.6829 Å, b = 3.6827 Å, c = 7.0346 Å
α = 90.00°, β = 90.00°, γ = 90.00°
Closest atoms and distances in Å follow each position.
Space group Cmmm (No. 65)
Unique sites:
Be: 0.0000 0.0000 0.0000 x2  8 Be 2.22-2.28
Be: 0.0000 0.5000 0.2518 x4  2 Co 2.20, 6 Be 2.22-2.28
Co: 0.0000 0.0000 0.5000 x2  4 Be 2.20, 4 Co 2.28

[2]
VASP calculation (GGA-PBEsol) on a geometry-optimized Fe3Co4 structure.

Density of states at the Fermi level, states/eV per atom: 1.24
Energy above the lowest structure with this stoichiometry, meV/atom: 67
Electronic total energy, eV per formula unit: -57.333
DFT formation energy, eV/atom: 0.072

a = 2.7766 Å, b = 3.9290 Å, c = 27.5651 Å
α = 90.00°, β = 90.00°, γ = 90.00°
Closest atoms and distances in Å follow each position.
Space group Fmmm (No. 69)
Unique sites:
Fe: 0.0000 0.0000 0.0000 x4  8 Fe 2.41-2.44
Fe: 0.0000 0.0000 0.4274 x8  6 Fe 2.41-2.44, 2 Co 2.41
Co: 0.0000 0.0000 0.1440 x8  6 Co 2.40-2.41, 2 Fe 2.41
Co: 0.0000 0.0000 0.2850 x8  8 Co 2.38-2.41

[3]
VASP calculation (GGA-PBEsol) on a geometry-optimized Re5Se structure.

Density of states at the Fermi level, states/eV per atom: 0.80
Energy above the lowest structure with this stoichiometry, meV/atom: 0
Raw formation energy, meV per atom: 381
Electronic total energy, eV per formula unit: -68.225

a = 4.7666 Å, b = 4.7666 Å, c = 4.4984 Å
α = 90.00°, β = 90.00°, γ = 120.00°
Closest atoms and distances in Å follow each position.
Space group P-62m (No. 189)
Unique sites:
Re: 0.0000 0.3435 0.0000 x3  10 Re 2.71-2.84, 2 Se 2.78
Re: 0.3333 0.6667 0.5000 x2  9 Re 2.74-2.75, 3 Se 2.75
Se: 0.0000 0.0000 0.5000 x1  12 Re 2.75-2.78

[4]
VASP calculation (GGA-PBEsol) on a geometry-optimized YScTl2 structure.

Density of states at the Fermi level, states/eV per atom: 0.79
Electronic total energy, eV per formula unit: -18.950
DFT formation energy, eV/atom: -0.066

a = 3.7441 Å, b = 5.5699 Å, c = 9.9954 Å
α = 90.00°, β = 90.00°, γ = 90.00°
Closest atoms and distances in Å follow each position.
Space group Cmm2 (No. 35)
Unique sites:
Y: 0.0000 0.0000 0.0000 x2  2 Sc 3.16, 2 Tl 3.20, 4 Y 3.36
Sc: 0.0000 0.5000 0.2550 x2  2 Tl 3.04, 2 Y 3.16, 4 Sc 3.36
Tl: 0.0000 0.0000 0.4953 x2  2 Sc 3.04, 6 Tl 3.08-3.36
Tl: 0.0000 0.5000 0.7403 x2  6 Tl 3.08-3.36, 2 Y 3.20